Compound: Ac6TlBi2Te3
Source: Alexandria via LeMat-Bulk
Functional: PBE
Structure: optimized geometry

Unit cell a=10.747 b=10.747 c=9.678 alpha=102.23 beta=102.23 gamma=25.73
Fractional coordinates of all 12 atoms:
Ac 0.000 0.000 0.242
Ac 0.000 0.000 0.758
Ac 0.333 0.333 0.418
Ac 0.337 0.337 0.917
Ac 0.663 0.663 0.083
Ac 0.667 0.667 0.582
Tl 0.500 0.500 0.000
Bi 0.167 0.167 0.335
Bi 0.833 0.833 0.665
Te 0.169 0.169 0.833
Te 0.500 0.500 0.500
Te 0.831 0.831 0.167

Calculated values
- formation energy (no corrections) (meV per atom) = -1149.5
- total magnetic moment (μB/atom) = 0.000

***

Compound: Li4PrHg2
Source: Alexandria via LeMat-Bulk
Functional: PBE
Structure: optimized geometry

Unit cell a=8.174 b=8.174 c=4.477 alpha=90.00 beta=90.00 gamma=90.00
Fractional coordinates of all 14 atoms:
Li 0.094 0.349 0.000
Li 0.151 0.594 0.500
Li 0.349 0.094 0.000
Li 0.406 0.849 0.500
Li 0.594 0.151 0.500
Li 0.651 0.906 0.000
Li 0.849 0.406 0.500
Li 0.906 0.651 0.000
Pr 0.000 0.000 0.500
Pr 0.500 0.500 0.000
Hg 0.214 0.786 0.000
Hg 0.286 0.286 0.500
Hg 0.714 0.714 0.500
Hg 0.786 0.214 0.000

Calculated values
- total magnetic moment (μB/atom) = 0.000
- raw total energy (eV per atom) = -2.15

***

Compound: LiIn2P
Source: Alexandria via LeMat-Bulk
Functional: PBE
Structure: optimized geometry

Unit cell a=3.286 b=3.286 c=7.883 alpha=90.00 beta=90.00 gamma=90.00
Fractional coordinates of all 4 atoms:
Li 0.000 0.000 0.000
In 0.000 0.000 0.386
In 0.500 0.500 0.722
P 0.500 0.500 0.159

Calculated values
- total magnetic moment (μB/atom) = 0.000
- raw total energy (eV per atom) = -3.23

***

Compound: CaLaBi2
Source: Alexandria via LeMat-Bulk
Functional: PBE
Structure: optimized geometry

Unit cell a=7.167 b=7.167 c=7.167 alpha=105.86 beta=105.86 gamma=116.97
Fractional coordinates of all 8 atoms:
Ca 0.000 0.000 0.000
Ca 0.750 0.250 0.500
La 0.250 0.750 0.500
La 0.500 0.500 0.000
Bi 0.118 0.625 0.993
Bi 0.375 0.368 0.493
Bi 0.632 0.125 0.007
Bi 0.875 0.882 0.507

Calculated values
- total magnetic moment (μB/atom) = 0.000
- energy above the lowest structure with this stoichiometry (eV/atom) = 0.121

***

Compound: Pr3CdSe
Source: Alexandria via LeMat-Bulk
Functional: PBE
Structure: optimized geometry

Unit cell a=7.620 b=4.714 c=17.072 alpha=90.00 beta=90.00 gamma=90.00
Fractional coordinates of all 20 atoms:
Pr 0.023 0.250 0.103
Pr 0.127 0.750 0.444
Pr 0.191 0.250 0.728
Pr 0.309 0.750 0.228
Pr 0.373 0.250 0.944
Pr 0.477 0.750 0.603
Pr 0.523 0.250 0.397
Pr 0.627 0.750 0.056
Pr 0.691 0.250 0.772
Pr 0.809 0.750 0.272
Pr 0.873 0.250 0.556
Pr 0.977 0.750 0.897
Cd 0.092 0.250 0.311
Cd 0.408 0.750 0.811
Cd 0.592 0.250 0.189
Cd 0.908 0.750 0.689
Se 0.224 0.750 0.037
Se 0.276 0.250 0.537
Se 0.724 0.750 0.463
Se 0.776 0.250 0.963

Calculated values
- formation energy (no corrections) (meV per atom) = -746.7
- total magnetic moment (μB/atom) = 0.000

***

Compound: NbHRhW2
Source: Alexandria via LeMat-Bulk
Functional: PBE
Structure: optimized geometry

Unit cell a=4.006 b=4.006 c=4.165 alpha=90.00 beta=90.00 gamma=90.00
Fractional coordinates of all 5 atoms:
Nb 0.000 0.000 0.000
H 0.000 0.000 0.500
Rh 0.500 0.500 0.000
W 0.000 0.500 0.500
W 0.500 0.000 0.500

Calculated values
- total magnetic moment (μB/atom) = 0.000
- energy above the lowest structure with this stoichiometry (eV/atom) = 0.000